Material: GaTc2Ag
Method: DFT, PBE
State: relaxed

abc: 4.4262 4.4262 4.4262
angles: 60.00 60.00 60.00
With the nearest neighbours (Å) after each atom.
Atoms (fractional coordinates):
Tc  0.0000  0.0000  0.0000  4 Tc 2.71, 4 Ag 2.71
Tc  0.7500  0.7500  0.7500  4 Ga 2.71, 4 Tc 2.71
Ga  0.5000  0.5000  0.5000  4 Tc 2.71, 4 Ag 2.71
Ag  0.2500  0.2500  0.2500  4 Ga 2.71, 4 Tc 2.71

DFT total energy (eV per cell): -25.473



Material: Ga2TcAg
Method: DFT, PBE
State: relaxed

abc: 4.4787 4.4787 4.4787
angles: 60.00 60.00 60.00
With the nearest neighbours (Å) after each atom.
Atoms (fractional coordinates):
Ag  0.2500  0.2500  0.2500  4 Ga 2.74, 4 Tc 2.74
Ga  0.7500  0.7500  0.7500  4 Ga 2.74, 4 Tc 2.74
Ga  0.5000  0.5000  0.5000  4 Ga 2.74, 4 Ag 2.74
Tc  0.0000  0.0000  0.0000  4 Ga 2.74, 4 Ag 2.74

DFT total energy (eV per cell): -17.768



no.,V (Å³ per atom)
1,15.33
2,15.88